No. 1
Below is a geometry-optimized CsIn2N structure, with properties calculated at the PBE-GGA level.

## Properties
Uncorrected formation energy = 427 meV/atom
Total magnetization = 0.00 μB per formula unit

POSCAR file:
```
CsIn2N
1.0
-3.909 3.909 4.074
3.909 -3.909 4.074
3.909 3.909 -4.074
Cs In N
2 4 2
Cartesian
0.000 0.000 0.000 Cs
0.000 3.909 2.037 Cs
1.955 -0.848 3.056 In
3.061 1.955 1.019 In
1.955 4.758 -1.019 In
0.848 1.955 5.093 In
3.909 0.000 2.037 N
0.000 0.000 4.074 N
```

No. 2
Below is a geometry-optimized Cs2InN structure, with properties calculated at the PBE-GGA level.

## Properties
Uncorrected formation energy = 996 meV/atom
Total magnetization = 0.00 μB per formula unit

POSCAR file:
```
Cs2InN
1.0
0.000 4.290 4.290
4.290 0.000 4.290
4.290 4.290 0.000
Cs In N
2 1 1
Cartesian
2.145 2.145 2.145 Cs
6.435 6.435 6.435 Cs
0.000 0.000 0.000 In
4.290 4.290 4.290 N
```

No. 3
Below is a geometry-optimized CsInOsN2 structure, with properties calculated at the PBE-GGA level.

## Properties
Uncorrected formation energy = 1005 meV/atom
Total magnetization = 0.15 μB per formula unit

POSCAR file:
```
CsInOsN2
1.0
4.130 0.000 0.000
0.000 4.130 0.000
0.000 0.000 5.375
Cs In Os N
1 1 1 2
Cartesian
0.000 0.000 0.000 Cs
2.065 2.065 0.000 In
2.065 2.065 2.687 Os
0.000 2.065 2.687 N
2.065 0.000 2.687 N
```

No. 4
Below is a geometry-optimized CsInSeN2 structure, with properties calculated at the PBE-GGA level.

## Properties
Uncorrected formation energy = 992 meV/atom
Total magnetization = 4.03 μB per formula unit

POSCAR file:
```
CsInSeN2
1.0
4.768 0.000 0.000
0.000 4.768 0.000
0.000 0.000 5.477
Cs In Se N
1 1 1 2
Cartesian
0.000 0.000 0.000 Cs
2.384 2.384 2.739 In
2.384 2.384 0.000 Se
0.000 2.384 2.739 N
2.384 0.000 2.739 N
```

No. 5
Below is a geometry-optimized CsInSeN2 structure, with properties calculated at the PBE-GGA level.

## Properties
Uncorrected formation energy = 2005 meV/atom
Total magnetization = 3.56 μB per formula unit

POSCAR file:
```
CsInSeN2
1.0
4.904 0.000 0.000
0.000 4.904 0.000
0.000 0.000 7.489
Cs In Se N
1 1 1 2
Cartesian
0.000 0.000 0.000 Cs
2.452 2.452 3.745 In
0.000 0.000 3.745 Se
0.000 2.452 0.000 N
2.452 0.000 0.000 N
```

No. 6
Below is a geometry-optimized CsInSi2N structure, with properties calculated at the PBE-GGA level.

## Properties
Uncorrected formation energy = 1285 meV/atom
Total magnetization = 0.00 μB per formula unit

POSCAR file:
```
CsInSi2N
1.0
5.501 0.000 0.000
0.000 5.501 0.000
0.000 0.000 4.367
Cs In Si N
1 1 2 1
Cartesian
0.000 0.000 0.000 Cs
2.750 2.750 2.184 In
0.000 2.750 2.184 Si
2.750 0.000 2.184 Si
2.750 2.750 0.000 N
```

No. 7
Below is a geometry-optimized CsSr2InN structure, with properties calculated at the PBE-GGA level.

## Properties
Uncorrected formation energy = 135 meV/atom
Total magnetization = 0.00 μB per formula unit

POSCAR file:
```
CsSr2InN
1.0
5.291 0.000 0.000
0.000 5.291 0.000
0.000 0.000 6.430
Cs Sr In N
1 2 1 1
Cartesian
0.000 0.000 0.000 Cs
0.000 2.646 3.215 Sr
2.646 0.000 3.215 Sr
2.646 2.646 0.000 In
2.646 2.646 3.215 N
```

No. 8
Below is a geometry-optimized CsInTeN2 structure, with properties calculated at the PBE-GGA level.

## Properties
Uncorrected formation energy = 1143 meV/atom
Total magnetization = 4.05 μB per formula unit

POSCAR file:
```
CsInTeN2
1.0
4.917 0.000 0.000
0.000 4.917 0.000
0.000 0.000 5.841
Cs In Te N
1 1 1 2
Cartesian
0.000 0.000 0.000 Cs
2.459 2.459 2.920 In
2.459 2.459 0.000 Te
0.000 2.459 2.920 N
2.459 0.000 2.920 N
```

No. 9
Below is a geometry-optimized CsInTe2N structure, with properties calculated at the PBE-GGA level.

## Properties
Uncorrected formation energy = 1541 meV/atom
Total magnetization = 0.01 μB per formula unit

POSCAR file:
```
CsInTe2N
1.0
7.161 0.000 0.000
0.000 7.161 0.000
0.000 0.000 4.948
Cs In Te N
1 1 2 1
Cartesian
0.000 0.000 0.000 Cs
3.581 3.581 2.474 In
0.000 3.581 0.000 Te
3.581 0.000 0.000 Te
0.000 0.000 2.474 N
```

No. 10
Below is a geometry-optimized CsInTe2N structure, with properties calculated at the PBE-GGA level.

## Properties
Uncorrected formation energy = 381 meV/atom
Total magnetization = 1.62 μB per formula unit

POSCAR file:
```
CsInTe2N
1.0
6.508 0.000 0.000
0.000 6.508 0.000
0.000 0.000 4.014
Cs In Te N
1 1 2 1
Cartesian
0.000 0.000 0.000 Cs
3.254 3.254 2.007 In
0.000 3.254 2.007 Te
3.254 0.000 2.007 Te
3.254 3.254 0.000 N
```

No. 11
Below is a geometry-optimized CsInTeN2 structure, with properties calculated at the PBE-GGA level.

## Properties
Uncorrected formation energy = 1954 meV/atom
Total magnetization = 2.06 μB per formula unit

POSCAR file:
```
CsInTeN2
1.0
4.523 0.000 0.000
0.000 4.523 0.000
0.000 0.000 7.732
Cs In Te N
1 1 1 2
Cartesian
0.000 0.000 0.000 Cs
2.261 2.261 3.866 In
0.000 0.000 3.866 Te
0.000 2.261 0.000 N
2.261 0.000 0.000 N
```

No. 12
Below is a geometry-optimized CsInWN2 structure, with properties calculated at the PBE-GGA level.

## Properties
Uncorrected formation energy = 1275 meV/atom
Total magnetization = 0.10 μB per formula unit

POSCAR file:
```
CsInWN2
1.0
4.200 0.000 0.000
0.000 4.200 0.000
0.000 0.000 5.934
Cs In W N
1 1 1 2
Cartesian
0.000 0.000 0.000 Cs
2.100 2.100 0.000 In
0.000 0.000 2.967 W
0.000 2.100 2.967 N
2.100 0.000 2.967 N
```

No. 13
Below is a geometry-optimized Cs2NaIn2 structure, with properties calculated at the PBE-GGA level.

## Properties
Total magnetization = 0.00 μB per formula unit
Formation energy from the elements = 0.034 eV per atom

POSCAR file:
```
Cs2NaIn2
1.0
8.639 0.000 0.000
0.000 8.639 0.000
0.000 0.000 6.533
Cs Na In
4 2 4
Cartesian
1.591 2.729 0.000 Cs
2.729 7.048 0.000 Cs
5.911 1.591 0.000 Cs
7.048 5.911 0.000 Cs
0.000 0.000 3.266 Na
4.320 4.320 3.266 Na
1.017 5.337 3.266 In
3.302 1.017 3.266 In
5.337 7.622 3.266 In
7.622 3.302 3.266 In
```

No. 14
Below is a geometry-optimized Cs2Na5In4 structure, with properties calculated at the PBE-GGA level.

## Properties
Total magnetization = 0.00 μB per formula unit
Formation energy from the elements = -0.031 eV per atom

POSCAR file:
```
Cs2Na5In4
1.0
8.185 -3.563 0.000
8.185 3.563 0.000
-6.461 0.000 8.049
Cs Na In
2 5 4
Cartesian
1.783 0.000 2.370 Cs
8.125 0.000 5.679 Cs
5.740 1.759 1.971 Na
4.168 1.759 6.078 Na
8.185 0.000 0.000 Na
5.740 -1.759 1.971 Na
4.168 -1.759 6.078 Na
-1.803 0.000 4.556 In
-1.579 0.000 7.496 In
11.487 0.000 0.553 In
11.711 0.000 3.493 In
```

No. 15
Below is a geometry-optimized CsNa2In2 structure, with properties calculated at the PBE-GGA level.

## Properties
Total magnetization = 0.00 μB per formula unit
Formation energy from the elements = -0.019 eV per atom

POSCAR file:
```
CsNa2In2
1.0
9.753 0.000 0.000
0.000 9.753 0.000
0.000 0.000 3.648
Cs Na In
2 4 4
Cartesian
0.000 0.000 0.000 Cs
4.877 4.877 0.000 Cs
1.689 3.187 0.000 Na
3.187 8.064 0.000 Na
6.566 1.689 0.000 Na
8.064 6.566 0.000 Na
1.076 5.953 1.824 In
3.801 1.076 1.824 In
5.953 8.677 1.824 In
8.677 3.801 1.824 In
```

No. 16
Below is a geometry-optimized CsNa2In structure, with properties calculated at the PBE-GGA level.

## Properties
Total magnetization = 0.00 μB per formula unit
Formation energy from the elements = -0.031 eV per atom

POSCAR file:
```
CsNa2In
1.0
7.530 0.000 0.000
0.000 9.409 0.000
-5.280 0.000 10.240
Cs Na In
4 8 4
Cartesian
-0.488 0.883 2.063 Cs
-3.128 3.822 7.183 Cs
5.378 5.587 3.057 Cs
2.738 8.526 8.177 Cs
1.509 5.795 1.019 Na
-1.132 8.318 6.139 Na
0.327 2.026 6.176 Na
2.967 2.678 1.056 Na
-0.717 6.731 9.184 Na
1.923 7.383 4.064 Na
3.382 1.090 4.101 Na
0.742 3.614 9.221 Na
-0.962 0.694 9.075 In
1.678 4.010 3.955 In
0.572 5.398 6.284 In
3.212 8.715 1.165 In
```

No. 17
Below is a geometry-optimized CsNa3In3 structure, with properties calculated at the PBE-GGA level.

## Properties
Total magnetization = 0.00 μB per formula unit
Formation energy from the elements = 0.001 eV per atom

POSCAR file:
```
CsNa3In3
1.0
3.825 2.208 11.201
-3.825 2.208 11.201
0.000 -4.416 11.201
Cs Na In
2 6 6
Cartesian
0.000 0.000 6.541 Cs
0.000 0.000 27.060 Cs
-0.477 -2.094 13.816 Na
-2.052 -0.634 19.786 Na
-1.575 1.460 13.816 Na
1.575 -1.460 19.786 Na
2.052 0.634 13.816 Na
0.477 2.094 19.786 Na
-0.662 -1.711 10.379 In
-1.150 1.429 10.379 In
-1.813 -0.282 23.223 In
1.813 0.282 10.379 In
1.150 -1.429 23.223 In
0.662 1.711 23.223 In
```

No. 18
Below is a geometry-optimized Cs3Na2In8 structure, with properties calculated at the PBE-GGA level.

## Properties
Total magnetization = 0.00 μB per formula unit
Formation energy from the elements = -0.054 eV per atom

POSCAR file:
```
Cs3Na2In8
1.0
7.296 0.000 0.000
1.929 7.237 0.000
2.990 -0.090 9.503
Cs Na In
3 2 8
Cartesian
0.000 0.000 0.000 Cs
4.783 6.181 2.709 Cs
7.432 0.966 6.794 Cs
6.351 5.051 6.293 Na
5.863 2.096 3.210 Na
2.253 2.665 3.496 In
4.356 3.152 8.048 In
3.819 1.319 5.691 In
3.519 2.754 0.668 In
8.696 4.393 8.835 In
8.396 5.828 3.812 In
7.859 3.995 1.455 In
9.962 4.482 6.007 In
```

No. 19
Below is a geometry-optimized CsNa2In structure, with properties calculated at the PBE-GGA level.

## Properties
Total magnetization = 0.01 μB per formula unit
Formation energy from the elements = 0.017 eV per atom

POSCAR file:
```
CsNa2In
1.0
2.821 1.629 7.038
-2.821 1.629 7.038
0.000 -3.257 7.038
Cs Na In
1 2 1
Cartesian
0.000 0.000 0.000 Cs
0.000 0.000 11.032 Na
0.000 0.000 17.093 Na
0.000 0.000 4.127 In
```

No. 20
Below is a geometry-optimized CsNa4In structure, with properties calculated at the PBE-GGA level.

## Properties
Total magnetization = 0.23 μB per formula unit
Formation energy from the elements = 0.070 eV per atom

POSCAR file:
```
CsNa4In
1.0
0.000 4.893 4.893
4.893 0.000 4.893
4.893 4.893 0.000
Cs Na In
1 4 1
Cartesian
0.000 0.000 0.000 Cs
6.086 3.700 3.700 Na
3.700 6.086 3.700 Na
3.700 3.700 6.086 Na
6.086 6.086 6.086 Na
2.447 2.447 2.447 In
```

No. 21
Below is a geometry-optimized CsNa4In structure, with properties calculated at the PBE-GGA level.

## Properties
Total magnetization = 0.00 μB per formula unit
Formation energy from the elements = 0.004 eV per atom

POSCAR file:
```
CsNa4In
1.0
8.981 -4.333 0.000
8.981 4.333 0.000
-2.668 0.000 6.682
Cs Na In
2 8 2
Cartesian
3.604 0.000 0.958 Cs
11.690 0.000 5.724 Cs
5.964 2.589 3.091 Na
8.981 2.448 0.000 Na
9.329 2.589 3.591 Na
4.206 0.000 5.182 Na
11.088 0.000 1.500 Na
5.964 -2.589 3.091 Na
8.981 -2.448 0.000 Na
9.329 -2.589 3.591 Na
7.695 0.000 1.842 In
7.599 0.000 4.840 In
```

No. 22
Below is a geometry-optimized CsNa2In2 structure, with properties calculated at the PBE-GGA level.

## Properties
Total magnetization = 0.00 μB per formula unit
Formation energy from the elements = 0.004 eV per atom

POSCAR file:
```
CsNa2In2
1.0
-2.985 2.985 5.587
2.985 -2.985 5.587
2.985 2.985 -5.587
Cs Na In
1 2 2
Cartesian
0.000 0.000 0.000 Cs
2.985 0.000 2.793 Na
0.000 2.985 2.793 Na
0.000 0.000 4.147 In
0.000 0.000 7.026 In
```

No. 23
Below is a geometry-optimized CsNa2In8 structure, with properties calculated at the PBE-GGA level.

## Properties
Total magnetization = 0.00 μB per formula unit
Formation energy from the elements = -0.069 eV per atom

POSCAR file:
```
CsNa2In8
1.0
4.561 0.000 0.000
0.000 4.561 0.000
0.000 0.000 16.395
Cs Na In
1 2 8
Cartesian
0.000 0.000 0.000 Cs
0.000 0.000 5.781 Na
0.000 0.000 10.614 Na
0.000 2.281 3.319 In
0.000 2.281 8.198 In
0.000 2.281 13.076 In
2.281 0.000 3.319 In
2.281 0.000 8.198 In
2.281 0.000 13.076 In
2.281 2.281 5.731 In
2.281 2.281 10.665 In
```

No. 24
Below is a geometry-optimized CsNa8In4 structure, with properties calculated at the PBE-GGA level.

## Properties
Total magnetization = 0.00 μB per formula unit
Formation energy from the elements = -0.071 eV per atom

POSCAR file:
```
CsNa8In4
1.0
-5.772 5.772 3.280
5.772 -5.772 3.280
5.772 5.772 -3.280
Cs Na In
1 8 4
Cartesian
0.000 0.000 0.000 Cs
3.931 0.000 0.000 Na
7.614 0.000 0.000 Na
5.772 3.126 0.000 Na
0.000 3.931 0.000 Na
3.126 5.772 0.000 Na
2.646 0.000 3.280 Na
0.000 7.614 0.000 Na
0.000 2.646 3.280 Na
2.886 2.886 -1.640 In
2.886 -2.886 1.640 In
-2.886 2.886 1.640 In
2.886 2.886 1.640 In
```

No. 25
Below is a geometry-optimized Cs4Na5In structure, with properties calculated at the PBE-GGA level.

## Properties
Total magnetization = 0.00 μB per formula unit
Formation energy from the elements = 0.009 eV per atom

POSCAR file:
```
Cs4Na5In
1.0
-6.660 6.660 3.438
6.660 -6.660 3.438
6.660 6.660 -3.438
Cs Na In
4 5 1
Cartesian
3.827 0.000 0.000 Cs
9.493 0.000 0.000 Cs
0.000 3.827 0.000 Cs
0.000 9.493 0.000 Cs
0.000 0.000 1.632 Na
4.531 4.531 0.187 Na
2.129 -2.129 3.624 Na
-2.129 2.129 3.624 Na
2.129 2.129 3.624 Na
0.000 0.000 5.005 In
```